# AcPm8Pr2 (GGA-PBE, relaxed)
# Distance to the lowest polymorph of the same formula   0 kJ/mol of formula units
# VASP energy   -100.7 eV/cell
# N(E_F)   30.65 states/eV per cell
# Formation enthalpy at 0 K   118 meV/atom
data_AcPm8Pr2
_chemical_formula_sum 'Ac2 Pm16 Pr4'
_cell_length_a 5.669
_cell_length_b 8.547
_cell_length_c 16.380
_cell_angle_alpha 90.00
_cell_angle_beta 90.00
_cell_angle_gamma 90.00
_symmetry_space_group_name_H-M 'I m m m'
_symmetry_Int_Tables_number 71
_symmetry_space_group_name_Hall '-I 2 2'
loop_
_atom_site_label
_atom_site_fract_x
_atom_site_fract_y
_atom_site_fract_z
Ac1 0.000 0.000 0.000
Pm1 0.000 0.204 0.500
Pm2 0.000 0.297 0.144
Pm3 0.000 0.500 0.342
Pr1 0.000 0.000 0.299